# BaMnP2O7

BaMnP2O7 after structural relaxation (GGA+U, the Alexandria database).

The value obtained for the volume is 307.85 Å³/cell. Its polymorph energy (0 for the lowest one) is 6.1 meV per atom. The value obtained for the density of states at the Fermi level is 0.0 states/eV per cell. For the size of the total moment, the calculation gives 10.00 μB per cell.

It has space group P-1 (No. 2), with a = 5.5230 Å, b = 7.4372 Å, c = 7.7023 Å, α = 102.65°, β = 90.94° and γ = 93.83°. The distinct sites, in fractional coordinates, are Ba at (0.2172, 0.2755, 0.4369), Mn at (0.2008, 0.1202, 0.8981), P at (0.2865, 0.6833, 0.8995), P at (0.2924, 0.7670, 0.2894), O at (0.0755, 0.8902, 0.3046), O at (0.0970, 0.8321, 0.9012), O at (0.2224, 0.5086, 0.7627), O at (0.2667, 0.6288, 0.0932), O at (0.2816, 0.6465, 0.4260), O at (0.4552, 0.2276, 0.1096) and O at (0.4635, 0.1179, 0.6993).